DFT (PBE) results for a relaxed BaGe2As2 crystal.

Calculated values
**SG**: I4/mmm
**Energy relative to the elements**: -0.33 eV per atom
**Total energy**: -4.425 eV/atom
**M_tot**: 0.0 μB/cell

abc: 4.9251 4.9251 6.4671
angles: 67.62 67.62 90.00
Sites, in units of the cell vectors:
As 0.3417 0.3417 0.3166
As 0.6583 0.6583 0.6834
Ge 0.7500 0.2500 0.5000
Ge 0.2500 0.7500 0.5000
Ba 0.0000 0.0000 0.0000